# 1
Density functional theory data (SCAN) for a PBEsol-optimized structure of AlGaPdF2.

Values from the calculation:
The value obtained for the total energy is -69.1 eV/cell. The calculation puts the uncorrected formation energy at -1032 meV per atom. Its magnetic moment is 0.00 μB per formula unit. The space-group type is No. 123.

The structure in POSCAR format:
```
AlGaPdF2
1.0
3.7009 0.0000 0.0000
0.0000 3.7009 0.0000
0.0000 0.0000 6.2122
Al Ga Pd F
1 1 1 2
Cartesian
0.0000 0.0000 0.0000
0.0000 0.0000 3.1061
1.8505 1.8505 0.0000
0.0000 1.8505 3.1061
1.8505 0.0000 3.1061
```

# 2
Density functional theory data (SCAN) for a PBEsol-optimized structure of Si2TcSe.

Values from the calculation:
The value obtained for the total energy is -293.1 eV/cell. The calculation puts the uncorrected formation energy at 474 meV per atom. Its magnetic moment is 0.00 μB per formula unit. The space-group type is No. 216.

The structure in POSCAR format:
```
Si2TcSe
1.0
6.1385 0.0000 0.0000
0.0000 6.1385 0.0000
0.0000 0.0000 6.1385
Si Tc Se
8 4 4
Cartesian
0.0000 0.0000 0.0000
0.0000 3.0693 3.0693
1.5346 1.5346 1.5346
1.5346 4.6039 4.6039
3.0693 0.0000 3.0693
3.0693 3.0693 0.0000
4.6039 1.5346 4.6039
4.6039 4.6039 1.5346
0.0000 0.0000 3.0693
0.0000 3.0693 0.0000
3.0693 0.0000 0.0000
3.0693 3.0693 3.0693
1.5346 1.5346 4.6039
1.5346 4.6039 1.5346
4.6039 1.5346 1.5346
4.6039 4.6039 4.6039
```

# 3
Density functional theory data (SCAN) for a PBEsol-optimized structure of CoIr2Rh.

Values from the calculation:
The value obtained for the total energy is -193.2 eV/cell. Its magnetic moment is 2.05 μB per formula unit. The space-group type is No. 47.

The structure in POSCAR format:
```
CoIr2Rh
1.0
2.6595 0.0000 0.0000
0.0000 3.6942 0.0000
0.0000 0.0000 5.3080
Co Ir Rh
1 2 1
Cartesian
0.0000 0.0000 0.0000
1.3297 1.8471 1.2836
1.3297 1.8471 4.0244
0.0000 0.0000 2.6540
```

# 4
Density functional theory data (SCAN) for a PBEsol-optimized structure of CoCuTe2.

Values from the calculation:
The value obtained for the total energy is -419.3 eV/cell. The calculation puts the uncorrected formation energy at 546 meV per atom. Its magnetic moment is 0.00 μB per formula unit. The space-group type is No. 225.

The structure in POSCAR format:
```
CoCuTe2
1.0
6.5536 0.0000 0.0000
0.0000 6.5536 0.0000
0.0000 0.0000 6.5536
Co Cu Te
4 4 8
Cartesian
0.0000 0.0000 0.0000
0.0000 3.2768 3.2768
3.2768 0.0000 3.2768
3.2768 3.2768 0.0000
0.0000 0.0000 3.2768
0.0000 3.2768 0.0000
3.2768 0.0000 0.0000
3.2768 3.2768 3.2768
1.6384 1.6384 1.6384
1.6384 1.6384 4.9152
1.6384 4.9152 1.6384
1.6384 4.9152 4.9152
4.9152 1.6384 1.6384
4.9152 1.6384 4.9152
4.9152 4.9152 1.6384
4.9152 4.9152 4.9152
```

# 5
Density functional theory data (SCAN) for a PBEsol-optimized structure of Cu2MoW.

Values from the calculation:
The value obtained for the total energy is -133.7 eV/cell. Its magnetic moment is 0.00 μB per formula unit. The space-group type is No. 123.

The structure in POSCAR format:
```
Cu2MoW
1.0
3.6599 0.0000 0.0000
0.0000 3.6599 0.0000
0.0000 0.0000 4.0085
Cu Mo W
2 1 1
Cartesian
0.0000 1.8300 0.0000
1.8300 0.0000 0.0000
0.0000 0.0000 2.0042
1.8300 1.8300 2.0042
```

# 6
Density functional theory data (SCAN) for a PBEsol-optimized structure of SrLiTa.

Values from the calculation:
The value obtained for the total energy is -344.5 eV/cell. Its magnetic moment is 4.51 μB per formula unit. The space-group type is No. 216.

The structure in POSCAR format:
```
SrLiTa
1.0
7.3143 0.0000 0.0000
0.0000 7.3143 0.0000
0.0000 0.0000 7.3143
Sr Li Ta
4 4 4
Cartesian
0.0000 0.0000 0.0000
0.0000 3.6571 3.6571
3.6571 0.0000 3.6571
3.6571 3.6571 0.0000
0.0000 0.0000 3.6571
0.0000 3.6571 0.0000
3.6571 0.0000 0.0000
3.6571 3.6571 3.6571
1.8286 1.8286 1.8286
1.8286 5.4857 5.4857
5.4857 1.8286 5.4857
5.4857 5.4857 1.8286
```

# 7
Density functional theory data (SCAN) for a PBEsol-optimized structure of Sc5Al3.

Values from the calculation:
The value obtained for the total energy is -194.1 eV/cell. Its magnetic moment is 1.14 μB per formula unit. The space-group type is No. 65.

The structure in POSCAR format:
```
Sc5Al3
1.0
6.8361 0.0000 0.0000
0.0000 9.7270 0.0000
0.0000 0.0000 4.8262
Sc Al
10 6
Cartesian
0.0000 0.0000 0.0000
1.5872 4.8635 2.4131
1.7090 2.4317 0.0000
1.7090 7.2952 0.0000
1.8309 0.0000 2.4131
3.4181 4.8635 0.0000
5.0053 0.0000 2.4131
5.1271 2.4317 0.0000
5.1271 7.2952 0.0000
5.2489 4.8635 2.4131
0.0000 2.2492 2.4131
0.0000 4.8635 0.0000
0.0000 7.4778 2.4131
3.4181 0.0000 0.0000
3.4181 2.6143 2.4131
3.4181 7.1127 2.4131
```

# 8
Density functional theory data (SCAN) for a PBEsol-optimized structure of MgIn2.

Values from the calculation:
The value obtained for the total energy is -575.3 eV/cell. Its magnetic moment is 0.00 μB per formula unit. The space-group type is No. 227.

The structure in POSCAR format:
```
MgIn2
1.0
0.0000 6.6200 6.6200
6.6200 0.0000 6.6200
6.6200 6.6200 0.0000
Mg In
8 16
Cartesian
10.4104 6.1396 6.1396
2.8296 2.8296 2.8296
7.1004 7.1004 2.8296
7.1004 2.8296 7.1004
6.1396 10.4104 6.1396
6.1396 6.1396 10.4104
10.4104 10.4104 10.4104
2.8296 7.1004 7.1004
0.0000 0.0000 0.0000
3.3100 3.3100 0.0000
3.3100 0.0000 3.3100
4.9650 4.9650 2.5150
4.9650 2.5150 4.9650
7.4150 4.9650 4.9650
8.2750 8.2750 5.8250
8.2750 5.8250 8.2750
10.7250 8.2750 8.2750
0.0000 3.3100 3.3100
2.5150 4.9650 4.9650
4.9650 7.4150 4.9650
4.9650 4.9650 7.4150
5.8250 8.2750 8.2750
8.2750 10.7250 8.2750
8.2750 8.2750 10.7250
```

# 9
Density functional theory data (SCAN) for a PBEsol-optimized structure of Y10Cd3Ni.

Values from the calculation:
The value obtained for the total energy is -781.0 eV/cell. Its magnetic moment is 0.00 μB per formula unit. The space-group type is No. 194.

The structure in POSCAR format:
```
Y10Cd3Ni
1.0
9.5001 0.0000 0.0000
-4.7500 8.2273 0.0000
0.0000 0.0000 9.6124
Y Cd Ni
20 6 2
Cartesian
0.0000 0.0000 0.0000
0.0000 0.0000 4.8062
-1.7426 4.4788 2.4031
0.0000 3.4601 5.4166
0.0000 3.4601 9.0020
-1.7535 6.4973 5.4166
-1.7535 6.4973 9.0020
2.9965 1.7301 0.6104
2.9965 1.7301 4.1958
1.7426 4.4788 2.4031
0.0000 7.4970 2.4031
4.7500 0.7303 7.2093
3.0075 3.7485 7.2093
1.7535 6.4973 5.4166
1.7535 6.4973 9.0020
6.5035 1.7301 0.6104
6.5035 1.7301 4.1958
4.7500 4.7672 0.6104
4.7500 4.7672 4.1958
6.4926 3.7485 7.2093
0.0000 1.8885 2.4031
-3.1146 7.2831 2.4031
1.6355 0.9442 7.2093
3.1146 7.2831 2.4031
7.8646 0.9442 7.2093
4.7501 6.3388 7.2093
0.0000 5.4849 7.2093
4.7501 2.7424 2.4031
```

# 10
Density functional theory data (SCAN) for a PBEsol-optimized structure of RuPb2Se.

Values from the calculation:
The value obtained for the total energy is -206.1 eV/cell. The calculation puts the uncorrected formation energy at 91 meV per atom. Its magnetic moment is 0.64 μB per formula unit. The space-group type is No. 99.

The structure in POSCAR format:
```
RuPb2Se
1.0
3.1641 0.0000 0.0000
0.0000 3.1641 0.0000
0.0000 0.0000 8.8290
Ru Pb Se
1 2 1
Cartesian
0.0000 0.0000 0.0000
0.0000 0.0000 3.8408
1.5820 1.5820 6.6633
1.5820 1.5820 1.1615
```

# 11
Density functional theory data (SCAN) for a PBEsol-optimized structure of Rb2HF.

Values from the calculation:
The value obtained for the total energy is -217.1 eV/cell. Its magnetic moment is 0.00 μB per formula unit. The space-group type is No. 122.

The structure in POSCAR format:
```
Rb2HF
1.0
6.3287 0.0000 0.0000
0.0000 6.3287 0.0000
0.0000 0.0000 12.5182
Rb H F
8 4 4
Cartesian
1.4721 1.5822 1.5648
1.5822 4.6365 4.6943
1.5822 4.8566 10.9534
1.6922 1.5822 7.8239
4.6365 4.7465 7.8239
4.7465 1.4721 10.9534
4.7465 1.6922 4.6943
4.8566 4.7465 1.5648
0.0000 0.0000 6.2591
0.0000 3.1644 9.3887
3.1644 0.0000 3.1296
3.1644 3.1644 0.0000
0.0000 0.0000 0.0000
0.0000 3.1644 3.1296
3.1644 0.0000 9.3887
3.1644 3.1644 6.2591
```

# 12
Density functional theory data (SCAN) for a PBEsol-optimized structure of Ta2AgBTe.

Values from the calculation:
The value obtained for the total energy is -196.2 eV/cell. The calculation puts the uncorrected formation energy at 2600 meV per atom. Its magnetic moment is 0.00 μB per formula unit. The space-group type is No. 123.

The structure in POSCAR format:
```
Ta2AgBTe
1.0
5.0120 0.0000 0.0000
0.0000 5.0120 0.0000
0.0000 0.0000 4.8697
Ta Ag B Te
2 1 1 1
Cartesian
0.0000 2.5060 0.0000
2.5060 0.0000 0.0000
0.0000 0.0000 2.4348
2.5060 2.5060 2.4348
0.0000 0.0000 0.0000
```

Look up the magnetic moment of the seventh one.
1.14 μB per formula unit

Among the records above, which one has the highest magnetic moment?
SrLiTa

Among the records above, which one has the highest magnetic moment?
SrLiTa